Version P
DFT (GGA-PBE) results for crystalline BaCa4Ac at its relaxed geometry.

Lattice parameters (Å, degrees): 6.916 6.916 7.000 100.42 100.42 119.08
Fractional positions:
Ba (0.000, 0.000, 0.000)
Ca (0.170, 0.830, 0.500)
Ca (0.336, 0.664, 0.000)
Ca (0.664, 0.336, 0.000)
Ca (0.830, 0.170, 0.500)
Ac (0.500, 0.500, 0.500)



Version Q
DFT (GGA-PBE) results for crystalline BaCa4Ac at its relaxed geometry.

Lattice parameters (Å, degrees): 7.406 7.406 7.406 60.00 60.00 60.00
Fractional positions:
Ba (0.000, 0.000, 0.000)
Ca (0.376, 0.376, 0.376)
Ca (0.376, 0.376, 0.873)
Ca (0.376, 0.873, 0.376)
Ca (0.873, 0.376, 0.376)
Ac (0.750, 0.750, 0.750)



Which of them is the least stable? Correct choice: version Q.



Version P
DFT (GGA-PBE) results for crystalline Ba2Ca6Ac at its relaxed geometry.

Lattice parameters (Å, degrees): 3.997 3.997 30.206 90.00 90.00 120.00
Fractional positions:
Ba (0.000, 0.000, 0.174)
Ba (0.000, 0.000, 0.826)
Ca (0.000, 0.000, 0.394)
Ca (0.000, 0.000, 0.606)
Ca (0.667, 0.333, 0.060)
Ca (0.667, 0.333, 0.289)
Ca (0.667, 0.333, 0.711)
Ca (0.667, 0.333, 0.940)
Ac (0.667, 0.333, 0.500)



Version Q
DFT (GGA-PBE) results for crystalline Ba2Ca6Ac at its relaxed geometry.

Lattice parameters (Å, degrees): 10.820 10.820 7.340 94.66 94.66 99.79
Fractional positions:
Ba (0.130, 0.153, 0.386)
Ba (0.153, 0.130, 0.886)
Ba (0.847, 0.870, 0.114)
Ba (0.870, 0.847, 0.614)
Ca (0.069, 0.459, 0.733)
Ca (0.192, 0.781, 0.998)
Ca (0.219, 0.808, 0.502)
Ca (0.250, 0.477, 0.223)
Ca (0.459, 0.069, 0.233)
Ca (0.477, 0.250, 0.723)
Ca (0.523, 0.750, 0.277)
Ca (0.541, 0.931, 0.767)
Ca (0.750, 0.523, 0.777)
Ca (0.781, 0.192, 0.498)
Ca (0.808, 0.219, 0.002)
Ca (0.931, 0.541, 0.267)
Ac (0.422, 0.578, 0.750)
Ac (0.578, 0.422, 0.250)



Which of them is the least stable? Correct choice: version Q.



Version P
DFT (GGA-PBE) results for crystalline BaAc2Cd at its relaxed geometry.

Lattice parameters (Å, degrees): 5.467 5.467 5.416 90.00 90.00 90.00
Fractional positions:
Ba (0.000, 0.000, 0.000)
Ac (0.000, 0.500, 0.500)
Ac (0.500, 0.000, 0.500)
Cd (0.500, 0.500, 0.000)



Version Q
DFT (GGA-PBE) results for crystalline BaAc2Cd at its relaxed geometry.

Lattice parameters (Å, degrees): 13.214 13.214 13.214 17.33 17.33 17.33
Fractional positions:
Ba (0.000, 0.000, 0.000)
Ac (0.101, 0.101, 0.101)
Ac (0.899, 0.899, 0.899)
Cd (0.500, 0.500, 0.500)



Version R
DFT (GGA-PBE) results for crystalline BaAc2Cd at its relaxed geometry.

Lattice parameters (Å, degrees): 6.061 6.061 6.061 60.00 60.00 60.00
Fractional positions:
Ba (0.000, 0.000, 0.000)
Ac (0.250, 0.250, 0.250)
Ac (0.750, 0.750, 0.750)
Cd (0.500, 0.500, 0.500)



Which of them is the least stable? Correct choice: version Q.



Version P
DFT (GGA-PBE) results for crystalline BaAc2Cd at its relaxed geometry.

Lattice parameters (Å, degrees): 4.114 4.114 10.251 90.00 90.00 90.00
Fractional positions:
Ba (0.000, 0.000, 0.000)
Ac (0.500, 0.500, 0.309)
Ac (0.500, 0.500, 0.691)
Cd (0.000, 0.000, 0.500)



Version Q
DFT (GGA-PBE) results for crystalline BaAc2Cd at its relaxed geometry.

Lattice parameters (Å, degrees): 12.390 12.390 12.390 19.04 19.04 19.04
Fractional positions:
Ba (0.000, 0.000, 0.000)
Ac (0.235, 0.235, 0.235)
Ac (0.430, 0.430, 0.430)
Cd (0.833, 0.833, 0.833)



Which of them is the least stable? Correct choice: version Q.



Version P
DFT (GGA-PBE) results for crystalline Ba2AcCd at its relaxed geometry.

Lattice parameters (Å, degrees): 4.161 4.161 10.508 90.00 90.00 90.00
Fractional positions:
Ba (0.000, 0.000, 0.204)
Ba (0.000, 0.000, 0.796)
Ac (0.500, 0.500, 0.500)
Cd (0.500, 0.500, 0.000)



Version Q
DFT (GGA-PBE) results for crystalline Ba2AcCd at its relaxed geometry.

Lattice parameters (Å, degrees): 6.334 6.334 6.334 60.00 60.00 60.00
Fractional positions:
Ba (0.250, 0.250, 0.250)
Ba (0.750, 0.750, 0.750)
Ac (0.000, 0.000, 0.000)
Cd (0.500, 0.500, 0.500)



Which of them is the least stable? Correct choice: version Q.



Version P
DFT (GGA-PBE) results for crystalline BaAcCd6 at its relaxed geometry.

Lattice parameters (Å, degrees): 5.011 7.081 6.696 90.00 90.00 90.00
Fractional positions:
Ba (0.000, 0.000, 0.000)
Ac (0.500, 0.500, 0.226)
Cd (0.000, 0.247, 0.474)
Cd (0.000, 0.500, 0.855)
Cd (0.000, 0.753, 0.474)
Cd (0.500, 0.000, 0.401)
Cd (0.500, 0.277, 0.745)
Cd (0.500, 0.723, 0.745)



Version Q
DFT (GGA-PBE) results for crystalline BaAcCd6 at its relaxed geometry.

Lattice parameters (Å, degrees): 5.121 7.261 7.261 62.04 90.00 90.00
Fractional positions:
Ba (0.000, 0.000, 0.000)
Ac (0.500, 0.686, 0.686)
Cd (0.000, 0.053, 0.477)
Cd (0.000, 0.477, 0.053)
Cd (0.000, 0.499, 0.499)
Cd (0.500, 0.195, 0.195)
Cd (0.500, 0.213, 0.624)
Cd (0.500, 0.624, 0.213)



Which of them is the least stable? Correct choice: version Q.



Version P
DFT (GGA-PBE) results for crystalline BaAcCdHg at its relaxed geometry.

Lattice parameters (Å, degrees): 4.127 4.127 8.374 90.00 90.00 90.00
Fractional positions:
Ba (0.000, 0.000, 0.000)
Ac (0.000, 0.000, 0.507)
Cd (0.500, 0.500, 0.272)
Hg (0.500, 0.500, 0.731)



Version Q
DFT (GGA-PBE) results for crystalline BaAcCdHg at its relaxed geometry.

Lattice parameters (Å, degrees): 5.847 5.847 5.847 60.00 60.00 60.00
Fractional positions:
Ba (0.000, 0.000, 0.000)
Ac (0.500, 0.500, 0.500)
Cd (0.750, 0.750, 0.750)
Hg (0.250, 0.250, 0.250)



Which of them is the least stable? Correct choice: version Q.



Version P
DFT (GGA-PBE) results for crystalline BaAcCdIn at its relaxed geometry.

Lattice parameters (Å, degrees): 5.905 5.905 5.905 60.00 60.00 60.00
Fractional positions:
Ba (0.000, 0.000, 0.000)
Ac (0.500, 0.500, 0.500)
Cd (0.750, 0.750, 0.750)
In (0.250, 0.250, 0.250)



Version Q
DFT (GGA-PBE) results for crystalline BaAcCdIn at its relaxed geometry.

Lattice parameters (Å, degrees): 4.156 4.156 8.471 90.00 90.00 90.00
Fractional positions:
Ba (0.000, 0.000, 0.000)
Ac (0.000, 0.000, 0.502)
Cd (0.500, 0.500, 0.274)
In (0.500, 0.500, 0.730)



Which of them is the least stable? Correct choice: version P.



Version P
DFT (GGA-PBE) results for crystalline BaAcZnCd at its relaxed geometry.

Lattice parameters (Å, degrees): 5.775 5.775 5.775 60.00 60.00 60.00
Fractional positions:
Ba (0.000, 0.000, 0.000)
Ac (0.500, 0.500, 0.500)
Zn (0.750, 0.750, 0.750)
Cd (0.250, 0.250, 0.250)



Version Q
DFT (GGA-PBE) results for crystalline BaAcZnCd at its relaxed geometry.

Lattice parameters (Å, degrees): 4.066 4.066 8.264 90.00 90.00 90.00
Fractional positions:
Ba (0.000, 0.000, 0.000)
Ac (0.000, 0.000, 0.477)
Zn (0.500, 0.500, 0.267)
Cd (0.500, 0.500, 0.721)



Which of them is the least stable? Correct choice: version P.



Version P
DFT (GGA-PBE) results for crystalline BaAc2Co at its relaxed geometry.

Lattice parameters (Å, degrees): 10.647 10.647 10.647 23.14 23.14 23.14
Fractional positions:
Ba (0.000, 0.000, 0.000)
Ac (0.547, 0.547, 0.547)
Ac (0.782, 0.782, 0.782)
Co (0.164, 0.164, 0.164)



Version Q
DFT (GGA-PBE) results for crystalline BaAc2Co at its relaxed geometry.

Lattice parameters (Å, degrees): 11.557 11.557 11.557 20.84 20.84 20.84
Fractional positions:
Ba (0.000, 0.000, 0.000)
Ac (0.120, 0.120, 0.120)
Ac (0.880, 0.880, 0.880)
Co (0.500, 0.500, 0.500)



Which of them is the least stable? Correct choice: version Q.



Version P
DFT (GGA-PBE) results for crystalline CsBa2Ac at its relaxed geometry.

Lattice parameters (Å, degrees): 15.698 15.698 15.698 15.82 15.82 15.82
Fractional positions:
Cs (0.000, 0.000, 0.000)
Ba (0.095, 0.095, 0.095)
Ba (0.905, 0.905, 0.905)
Ac (0.500, 0.500, 0.500)



Version Q
DFT (GGA-PBE) results for crystalline CsBa2Ac at its relaxed geometry.

Lattice parameters (Å, degrees): 4.331 4.331 13.668 90.00 90.00 90.00
Fractional positions:
Cs (0.000, 0.000, 0.000)
Ba (0.500, 0.500, 0.292)
Ba (0.500, 0.500, 0.708)
Ac (0.000, 0.000, 0.500)



Which of them is the least stable? Correct choice: version P.



Version P
DFT (GGA-PBE) results for crystalline Ba2AcCu at its relaxed geometry.

Lattice parameters (Å, degrees): 3.997 3.997 10.329 90.00 90.00 90.00
Fractional positions:
Ba (0.000, 0.000, 0.186)
Ba (0.000, 0.000, 0.814)
Ac (0.500, 0.500, 0.500)
Cu (0.500, 0.500, 0.000)



Version Q
DFT (GGA-PBE) results for crystalline Ba2AcCu at its relaxed geometry.

Lattice parameters (Å, degrees): 12.368 12.368 12.368 19.54 19.54 19.54
Fractional positions:
Ba (0.110, 0.110, 0.110)
Ba (0.890, 0.890, 0.890)
Ac (0.000, 0.000, 0.000)
Cu (0.500, 0.500, 0.500)



Which of them is the least stable? Correct choice: version Q.